No. 1
DFT (PBE-GGA) results for crystalline KLa2CdOs at its relaxed geometry.

abc: 5.553 5.553 5.609
angles: 90.00 90.00 90.00
Sites, in units of the cell vectors:
K 0.000 0.000 0.000
La 0.000 0.500 0.500
La 0.500 0.000 0.500
Cd 0.500 0.500 0.000
Os 0.500 0.500 0.500

Properties
E: -4.578 eV per atom
density: 5.95 Mg/m³
total moment: 0.0000 μB per atom
energy of formation: 0.21 eV per formula unit

No. 2
DFT (PBE-GGA) results for crystalline KLa2CdPb at its relaxed geometry.

abc: 6.263 6.263 5.781
angles: 90.00 90.00 90.00
Sites, in units of the cell vectors:
K 0.000 0.000 0.000
La 0.000 0.500 0.500
La 0.500 0.000 0.500
Cd 0.500 0.500 0.000
Pb 0.500 0.500 0.500

Properties
E: -2.860 eV per atom
density: 4.66 Mg/m³
total moment: 0.0017 μB per atom
energy of formation: 1.28 eV per formula unit

No. 3
DFT (PBE-GGA) results for crystalline KLa2CdRu at its relaxed geometry.

abc: 5.446 5.446 5.691
angles: 90.00 90.00 90.00
Sites, in units of the cell vectors:
K 0.000 0.000 0.000
La 0.000 0.500 0.500
La 0.500 0.000 0.500
Cd 0.500 0.500 0.000
Ru 0.500 0.500 0.500

Properties
E: -4.305 eV per atom
density: 5.22 Mg/m³
total moment: 0.0000 μB per atom
energy of formation: -0.38 eV per formula unit